The following is a DFT calculation (PBE) of an optimized crystal structure of ZrZnTc2.

Calculated values
The calculated density comes out at 9.13 g cm⁻³. The value obtained for the total magnetization is 0.00 μB per atom. As for the formation energy: -0.049 eV/atom.

Structure (CIF):
```
data_ZrZnTc2
_cell_length_a 3.963
_cell_length_b 3.967
_cell_length_c 4.078
_cell_angle_alpha 90.00
_cell_angle_beta 90.00
_cell_angle_gamma 90.00
_symmetry_space_group_name_H-M 'P 1'
_symmetry_Int_Tables_number 1
loop_
_symmetry_equiv_pos_as_xyz
'x,y,z'
loop_
_atom_site_label
_atom_site_type_symbol
_atom_site_fract_x
_atom_site_fract_y
_atom_site_fract_z
_atom_site_occupancy
Tc1 Tc 0.000 0.000 0.000 1
Tc2 Tc 0.500 0.500 0.000 1
Zn1 Zn 0.500 0.000 0.500 1
Zr1 Zr 0.000 0.500 0.500 1
```

***

The following is a DFT calculation (PBE) of an optimized crystal structure of Zr5ZnTc4.

Calculated values
The calculated density comes out at 8.36 g cm⁻³. The value obtained for the total magnetization is 0.00 μB per atom. As for the formation energy: -0.358 eV/atom.

Structure (CIF):
```
data_Zr5ZnTc4
_cell_length_a 3.319
_cell_length_b 3.319
_cell_length_c 16.468
_cell_angle_alpha 90.00
_cell_angle_beta 90.00
_cell_angle_gamma 90.00
_symmetry_space_group_name_H-M 'P 1'
_symmetry_Int_Tables_number 1
loop_
_symmetry_equiv_pos_as_xyz
'x,y,z'
loop_
_atom_site_label
_atom_site_type_symbol
_atom_site_fract_x
_atom_site_fract_y
_atom_site_fract_z
_atom_site_occupancy
Zr1 Zr 0.500 0.500 0.106 1
Zr2 Zr 0.500 0.500 0.301 1
Zr3 Zr 0.500 0.500 0.500 1
Zr4 Zr 0.500 0.500 0.699 1
Zr5 Zr 0.500 0.500 0.894 1
Zn1 Zn 0.000 0.000 0.000 1
Tc1 Tc 0.000 0.000 0.198 1
Tc2 Tc 0.000 0.000 0.400 1
Tc3 Tc 0.000 0.000 0.600 1
Tc4 Tc 0.000 0.000 0.802 1
```

***

The following is a DFT calculation (PBE) of an optimized crystal structure of Zr2ZnTc2.

Calculated values
The calculated density comes out at 7.96 g cm⁻³. The value obtained for the total magnetization is 0.00 μB per atom. As for the formation energy: -0.091 eV/atom.

Structure (CIF):
```
data_Zr2ZnTc2
_cell_length_a 6.655
_cell_length_b 6.655
_cell_length_c 4.180
_cell_angle_alpha 90.00
_cell_angle_beta 90.00
_cell_angle_gamma 90.00
_symmetry_space_group_name_H-M 'P 1'
_symmetry_Int_Tables_number 1
loop_
_symmetry_equiv_pos_as_xyz
'x,y,z'
loop_
_atom_site_label
_atom_site_type_symbol
_atom_site_fract_x
_atom_site_fract_y
_atom_site_fract_z
_atom_site_occupancy
Zn1 Zn 0.000 0.000 0.000 1
Zn2 Zn 0.500 0.500 0.000 1
Tc1 Tc 0.374 0.874 0.000 1
Tc2 Tc 0.874 0.626 0.000 1
Tc3 Tc 0.626 0.126 0.000 1
Tc4 Tc 0.126 0.374 0.000 1
Zr1 Zr 0.182 0.682 0.500 1
Zr2 Zr 0.682 0.818 0.500 1
Zr3 Zr 0.818 0.318 0.500 1
Zr4 Zr 0.318 0.182 0.500 1
```

***

The following is a DFT calculation (PBE) of an optimized crystal structure of Zr2ZnTc3.

Calculated values
The calculated density comes out at 8.79 g cm⁻³. The value obtained for the total magnetization is 0.00 μB per atom. As for the formation energy: -0.315 eV/atom.

Structure (CIF):
```
data_Zr2ZnTc3
_cell_length_a 5.191
_cell_length_b 5.191
_cell_length_c 5.309
_cell_angle_alpha 90.06
_cell_angle_beta 119.36
_cell_angle_gamma 119.84
_symmetry_space_group_name_H-M 'P 1'
_symmetry_Int_Tables_number 1
loop_
_symmetry_equiv_pos_as_xyz
'x,y,z'
loop_
_atom_site_label
_atom_site_type_symbol
_atom_site_fract_x
_atom_site_fract_y
_atom_site_fract_z
_atom_site_occupancy
Zr1 Zr 0.756 0.378 0.135 1
Zr2 Zr 0.244 0.622 0.865 1
Zn1 Zn 0.000 0.000 0.000 1
Tc1 Tc 0.500 0.500 0.500 1
Tc2 Tc 0.000 0.000 0.500 1
Tc3 Tc 0.500 0.000 0.500 1
```

***

The following is a DFT calculation (PBE) of an optimized crystal structure of ZrZnTc3.

Calculated values
The calculated density comes out at 8.12 g cm⁻³. The polymorph energy (0 for the lowest one) is 0 meV/atom. The value obtained for the total magnetization is 0.00 μB per atom. As for the formation energy: 1.173 eV/atom.

Structure (CIF):
```
data_ZrZnTc3
_cell_length_a 4.516
_cell_length_b 4.516
_cell_length_c 4.516
_cell_angle_alpha 90.00
_cell_angle_beta 90.00
_cell_angle_gamma 90.00
_symmetry_space_group_name_H-M 'P 1'
_symmetry_Int_Tables_number 1
loop_
_symmetry_equiv_pos_as_xyz
'x,y,z'
loop_
_atom_site_label
_atom_site_type_symbol
_atom_site_fract_x
_atom_site_fract_y
_atom_site_fract_z
_atom_site_occupancy
Zn1 Zn 0.000 0.000 0.000 1
Tc1 Tc 0.000 0.500 0.000 1
Tc2 Tc 0.000 0.000 0.500 1
Tc3 Tc 0.500 0.000 0.000 1
Zr1 Zr 0.500 0.500 0.500 1
```

***

The following is a DFT calculation (PBE) of an optimized crystal structure of ZrZnTc2.

Calculated values
The calculated density comes out at 9.06 g cm⁻³. The value obtained for the total magnetization is 0.00 μB per atom. As for the formation energy: 0.084 eV/atom.

Structure (CIF):
```
data_ZrZnTc2
_cell_length_a 2.790
_cell_length_b 2.790
_cell_length_c 8.735
_cell_angle_alpha 90.00
_cell_angle_beta 90.00
_cell_angle_gamma 108.16
_symmetry_space_group_name_H-M 'P 1'
_symmetry_Int_Tables_number 1
loop_
_symmetry_equiv_pos_as_xyz
'x,y,z'
loop_
_atom_site_label
_atom_site_type_symbol
_atom_site_fract_x
_atom_site_fract_y
_atom_site_fract_z
_atom_site_occupancy
Tc1 Tc 0.000 0.000 0.011 1
Tc2 Tc 0.000 0.000 0.489 1
Zn1 Zn 0.500 0.500 0.250 1
Zr1 Zr 0.500 0.500 0.750 1
```

***

The following is a DFT calculation (PBE) of an optimized crystal structure of ZrZnTc2.

Calculated values
The calculated density comes out at 8.89 g cm⁻³. The value obtained for the total magnetization is 0.00 μB per atom. As for the formation energy: 0.073 eV/atom.

Structure (CIF):
```
data_ZrZnTc2
_cell_length_a 9.593
_cell_length_b 9.593
_cell_length_c 9.593
_cell_angle_alpha 17.01
_cell_angle_beta 17.01
_cell_angle_gamma 17.01
_symmetry_space_group_name_H-M 'P 1'
_symmetry_Int_Tables_number 1
loop_
_symmetry_equiv_pos_as_xyz
'x,y,z'
loop_
_atom_site_label
_atom_site_type_symbol
_atom_site_fract_x
_atom_site_fract_y
_atom_site_fract_z
_atom_site_occupancy
Tc1 Tc 0.991 0.991 0.991 1
Tc2 Tc 0.252 0.252 0.252 1
Zn1 Zn 0.507 0.507 0.507 1
Zr1 Zr 0.750 0.750 0.750 1
```

***

The following is a DFT calculation (PBE) of an optimized crystal structure of ZrZnTc2.

Calculated values
The calculated density comes out at 8.98 g cm⁻³. The value obtained for the total magnetization is 0.00 μB per atom. As for the formation energy: -0.041 eV/atom.

Structure (CIF):
```
data_ZrZnTc2
_cell_length_a 3.011
_cell_length_b 3.838
_cell_length_c 5.642
_cell_angle_alpha 90.00
_cell_angle_beta 90.00
_cell_angle_gamma 90.00
_symmetry_space_group_name_H-M 'P 1'
_symmetry_Int_Tables_number 1
loop_
_symmetry_equiv_pos_as_xyz
'x,y,z'
loop_
_atom_site_label
_atom_site_type_symbol
_atom_site_fract_x
_atom_site_fract_y
_atom_site_fract_z
_atom_site_occupancy
Tc1 Tc 0.000 0.000 0.020 1
Tc2 Tc 0.500 0.500 0.238 1
Zn1 Zn 0.000 0.000 0.487 1
Zr1 Zr 0.500 0.500 0.756 1
```

***

- What is the formula in the seventh record?
  ZrZnTc2